No. 1
# Al2TlRu, optimized geometry, DFT PBE-GGA
data_Al2TlRu
_chemical_formula_sum 'Al2 Tl1 Ru1'
_cell_length_a 3.058
_cell_length_b 3.066
_cell_length_c 8.119
_cell_angle_alpha 90.00
_cell_angle_beta 99.91
_cell_angle_gamma 90.00
_symmetry_space_group_name_H-M 'P 1 2/m 1'
_symmetry_Int_Tables_number 10
_symmetry_space_group_name_Hall '-P 2y'
loop_
_atom_site_label
_atom_site_type_symbol
_atom_site_fract_x
_atom_site_fract_y
_atom_site_fract_z
Al1 Al 0.080 0.000 0.174
Tl1 Tl 0.000 0.500 0.500
Ru1 Ru 0.500 0.500 0.000
# Energy above the lowest structure with this stoichiometry, kJ/mol of formula units: 0
# Magnetic moment, μB per formula unit: 0.00
# DOS(E_F), states/eV per atom: 0.273
# V, Å³ per cell: 75


No. 2
# Nd2SmThSe4, optimized geometry, DFT PBE-GGA
data_Nd2SmThSe4
_chemical_formula_sum 'Nd2 Sm1 Th1 Se4'
_cell_length_a 7.291
_cell_length_b 4.191
_cell_length_c 7.313
_cell_angle_alpha 90.00
_cell_angle_beta 109.32
_cell_angle_gamma 90.00
_symmetry_space_group_name_H-M 'P 1 2/m 1'
_symmetry_Int_Tables_number 10
_symmetry_space_group_name_Hall '-P 2y'
loop_
_atom_site_label
_atom_site_type_symbol
_atom_site_fract_x
_atom_site_fract_y
_atom_site_fract_z
Nd1 Nd 0.000 0.000 0.000
Nd2 Nd 0.000 0.500 0.500
Sm1 Sm 0.500 0.000 0.500
Th1 Th 0.500 0.500 0.000
Se1 Se 0.252 0.000 0.749
Se2 Se 0.254 0.500 0.253
# Magnetic moment, μB per formula unit: 0.00
# DOS(E_F), states/eV per atom: 0.525
# Raw formation energy, meV per atom: -1751
# V, Å³ per cell: 211


No. 3
# Dy6ZnGa5, optimized geometry, DFT PBE-GGA
data_Dy6ZnGa5
_chemical_formula_sum 'Dy6 Zn1 Ga5'
_cell_length_a 5.061
_cell_length_b 7.102
_cell_length_c 7.996
_cell_angle_alpha 90.00
_cell_angle_beta 108.26
_cell_angle_gamma 90.00
_symmetry_space_group_name_H-M 'P 1 2/m 1'
_symmetry_Int_Tables_number 10
_symmetry_space_group_name_Hall '-P 2y'
loop_
_atom_site_label
_atom_site_type_symbol
_atom_site_fract_x
_atom_site_fract_y
_atom_site_fract_z
Dy1 Dy 0.000 0.250 0.000
Dy2 Dy 0.333 0.249 0.666
Zn1 Zn 0.500 0.000 0.000
Ga1 Ga 0.163 0.000 0.327
Ga2 Ga 0.167 0.500 0.334
Ga3 Ga 0.500 0.500 0.000
# Magnetic moment, μB per formula unit: 0.00
# Electronic total energy, eV for the cell shown: -50.7
# DOS(E_F), states/eV per atom: 0.467
# V, Å³ per cell: 273


No. 4
# Ce5Pr3Se8, optimized geometry, DFT PBE-GGA
data_Ce5Pr3Se8
_chemical_formula_sum 'Ce15 Pr9 Se24'
_cell_length_a 8.4465
_cell_length_b 8.4465
_cell_length_c 20.7500
_cell_angle_alpha 90.00
_cell_angle_beta 90.00
_cell_angle_gamma 120.00
_symmetry_space_group_name_H-M 'R -3 m'
_symmetry_Int_Tables_number 166
_symmetry_space_group_name_Hall '-R 3 2"'
loop_
_atom_site_label
_atom_site_type_symbol
_atom_site_fract_x
_atom_site_fract_y
_atom_site_fract_z
Ce1 Ce 0.0000 0.0000 0.0000
Ce2 Ce 0.0000 0.0000 0.5000
Ce3 Ce 0.0000 0.5000 0.0000
Pr1 Pr 0.0000 0.5000 0.5000
Se1 Se 0.0000 0.0000 0.2517
Se2 Se 0.0021 0.5011 0.2511
# Magnetic moment, μB per formula unit: 4.69
# DOS(E_F), states/eV per atom: 2.005
# Raw formation energy, meV per atom: -1834
# V, Å³ per cell: 1282


No. 5
# CeDyPaCd, optimized geometry, DFT PBE-GGA
data_CeDyPaCd
_chemical_formula_sum 'Ce4 Dy4 Pa4 Cd4'
_cell_length_a 7.520
_cell_length_b 7.520
_cell_length_c 7.520
_cell_angle_alpha 90.00
_cell_angle_beta 90.00
_cell_angle_gamma 90.00
_symmetry_space_group_name_H-M 'F -4 3 m'
_symmetry_Int_Tables_number 216
_symmetry_space_group_name_Hall 'F -4 2 3'
loop_
_atom_site_label
_atom_site_type_symbol
_atom_site_fract_x
_atom_site_fract_y
_atom_site_fract_z
Ce1 Ce 0.000 0.000 0.000
Dy1 Dy 0.000 0.000 0.500
Pa1 Pa 0.250 0.250 0.250
Cd1 Cd 0.250 0.250 0.750
# Magnetic moment, μB per formula unit: 1.37
# Electronic total energy, eV for the cell shown: -80.2
# DOS(E_F), states/eV per atom: 2.492
# V, Å³ per cell: 425


No. 6
# Rb3NiSe, optimized geometry, DFT PBE-GGA
data_Rb3NiSe
_chemical_formula_sum 'Rb3 Ni1 Se1'
_cell_length_a 6.577
_cell_length_b 6.577
_cell_length_c 6.577
_cell_angle_alpha 90.00
_cell_angle_beta 90.00
_cell_angle_gamma 90.00
_symmetry_space_group_name_H-M 'P m -3 m'
_symmetry_Int_Tables_number 221
_symmetry_space_group_name_Hall '-P 4 2 3'
loop_
_atom_site_label
_atom_site_type_symbol
_atom_site_fract_x
_atom_site_fract_y
_atom_site_fract_z
Rb1 Rb 0.000 0.000 0.500
Ni1 Ni 0.500 0.500 0.500
Se1 Se 0.000 0.000 0.000
# Energy above the lowest structure with this stoichiometry, kJ/mol of formula units: 0
# Magnetic moment, μB per formula unit: 1.00
# DOS(E_F), states/eV per atom: 0.000
# Raw formation energy, meV per atom: -22
# V, Å³ per cell: 285